A:
Pm2PuTc PBE optimized geometry; symmetry = P4/mmm
1.0
3.503 0.000 0.000
0.000 3.503 0.000
0.000 0.000 8.671
Pm Tc Pu
2 1 1
Cartesian
0.000 0.000 6.971
0.000 0.000 1.700
1.751 1.751 0.000
1.751 1.751 4.336

---

B:
Pm2PuTc PBE optimized geometry; symmetry = Fm-3m
1.0
5.195 0.000 0.000
2.598 4.499 0.000
2.598 1.500 4.244
Pm Tc Pu
2 1 1
Cartesian
2.598 1.500 1.061
7.793 4.499 3.184
0.000 0.000 0.000
5.195 2.999 2.122

---

Relative energies, in kJ/mol of atoms, with the most stable structure set to zero: A 0.0; B 15.9.

---

A:
PmPuTe2 PBE optimized geometry; symmetry = Fm-3m
1.0
-0.446 -4.398 3.164
3.295 -0.614 4.280
-1.978 0.469 5.042
Pm Te Pu
1 2 1
Cartesian
0.000 0.000 0.000
0.218 -1.136 3.122
0.653 -3.407 9.365
0.436 -2.272 6.243

---

B:
PmPuTe2 PBE optimized geometry; symmetry = P4/mmm
1.0
3.827 0.000 0.000
0.000 3.827 0.000
0.000 0.000 7.696
Pm Te Pu
1 2 1
Cartesian
1.914 1.914 3.848
0.000 0.000 5.777
0.000 0.000 1.919
1.914 1.914 0.000

---

C:
PmPuTe2 PBE optimized geometry; symmetry = P6_3/mmc
1.0
-0.716 2.799 3.276
2.026 -3.793 0.771
13.301 6.558 -2.697
Pm Pu Te
2 2 4
Cartesian
3.523 2.241 1.767
11.088 3.323 -0.417
6.651 3.279 -1.348
0.000 0.000 0.000
6.146 0.887 0.585
11.883 6.363 0.072
8.465 4.678 0.765
2.728 -0.798 1.278

---

D:
PmPuTe2 PBE optimized geometry; symmetry = R-3m
1.0
-0.074 -0.891 4.339
-0.397 -4.186 1.395
7.135 -2.390 1.892
Pm Te Pu
1 2 1
Cartesian
3.332 -3.734 3.813
5.024 -5.603 5.720
1.640 -1.864 1.907
0.000 0.000 0.000

---

Relative energies, in kJ/mol of atoms, with the most stable structure set to zero: A 14.4; B 13.2; C 3.0; D 0.0.

---

A:
Density functional theory data (PBE) for an optimized crystal structure of PmPuTe2.

POSCAR file:
```
PmPuTe2
1.0
6.281 0.000 0.000
0.000 6.281 0.254
0.000 -0.508 12.591
Pm Pu Te
4 4 8
Cartesian
1.569 2.822 7.994
4.712 2.951 4.850
1.569 -0.444 11.019
4.712 6.217 1.826
1.572 6.090 4.981
4.710 -0.317 7.864
1.572 3.078 1.695
4.710 2.695 11.149
4.710 5.837 11.249
1.572 -0.064 1.595
4.710 2.823 8.017
1.572 2.951 4.827
4.713 3.077 1.673
1.569 2.696 11.171
4.713 -0.191 4.749
1.569 5.964 8.095
```

---

B:
PmPuTe2 PBE optimized geometry; symmetry = R3m
1.0
4.295 0.000 0.000
2.148 3.720 0.000
2.148 1.240 7.837
Pm Pu Te
1 1 2
Cartesian
4.295 2.480 3.984
6.443 3.720 7.763
2.148 1.240 5.926
2.148 1.240 1.921

---

Relative energies, in kJ/mol of atoms, with the most stable structure set to zero: A 0.0; B 5.1.

---

A:
Pm2PuTe PBE optimized geometry; symmetry = P4/mmm
1.0
-3.298 -1.031 -1.846
-0.440 -3.010 2.469
-4.114 4.547 4.810
Pm Te Pu
2 1 1
Cartesian
-3.004 3.321 3.513
-1.109 1.226 1.297
-3.926 0.253 2.717
-1.869 -2.021 0.312

---

B:
Pm2PuTe PBE optimized geometry; symmetry = P4/mmm
1.0
4.509 0.000 0.000
0.000 5.000 0.000
0.000 0.000 5.000
Pm Te Pu
2 1 1
Cartesian
0.000 0.000 2.500
0.000 2.500 0.000
2.254 2.500 2.500
2.254 0.000 0.000

---

Relative energies, in kJ/mol of atoms, with the most stable structure set to zero: A 0.0; B 4.6.

---

A:
Pm6PuTe8 PBE optimized geometry; symmetry = R-3
1.0
-0.469 8.392 1.074
-5.925 -1.483 5.872
6.310 -0.764 5.603
Pm Pu Te
6 1 8
Cartesian
2.206 3.733 7.766
-1.235 2.052 8.566
-1.127 5.565 6.847
-2.290 2.412 4.783
1.151 4.093 3.983
1.042 0.580 5.703
0.000 0.000 0.000
-0.065 4.736 9.673
-0.019 1.409 2.877
-3.675 3.826 7.256
1.975 6.330 6.067
1.551 0.689 8.826
3.591 2.319 5.294
-2.060 -0.185 6.482
-1.635 5.455 3.723

---

B:
Pm6PuTe8 PBE optimized geometry; symmetry = Fm-3m
1.0
-0.179 -4.152 7.877
7.621 -2.204 4.046
2.540 4.313 7.366
Pm Pu Te
6 1 8
Cartesian
5.081 1.054 5.706
-0.090 -2.076 3.938
3.721 -3.178 5.962
1.270 2.157 3.683
3.811 -1.102 2.023
1.181 0.081 7.621
0.000 0.000 0.000
7.487 -1.532 14.467
2.496 -0.511 4.822
2.449 -2.561 8.775
7.534 0.518 10.514
3.786 1.601 8.524
6.196 -3.645 10.765
3.698 -0.440 12.397
6.284 -1.603 6.892

---

Relative energies, in kJ/mol of atoms, with the most stable structure set to zero: A 31.4; B 0.0.

---

A:
PmPuTe3 PBE optimized geometry; symmetry = Pmmn
1.0
-2.499 3.073 1.856
-1.997 -4.964 5.530
7.653 2.954 5.415
Pm Pu Te
2 2 6
Cartesian
-0.311 -0.236 7.706
3.467 1.300 5.096
-1.184 1.523 3.616
4.341 -0.460 9.185
-2.875 -1.226 5.892
6.031 2.289 6.910
1.346 -0.542 10.444
2.247 1.696 7.950
1.810 1.605 2.358
0.910 -0.633 4.851

---

B:
PmPuTe3 PBE optimized geometry; symmetry = Pnma
1.0
-2.915 -3.301 0.105
6.408 -5.482 5.554
-6.152 5.843 12.864
Pm Pu Te
4 4 12
Cartesian
-3.267 -1.116 12.763
2.372 -6.231 8.553
0.608 -1.823 5.760
-5.031 3.292 9.970
-2.446 0.930 7.509
-4.949 3.362 14.437
-0.212 -3.870 11.015
2.290 -6.301 4.086
-2.462 1.042 10.564
-0.857 -0.622 2.858
-0.197 -3.981 7.959
-1.802 -2.317 15.666
-0.006 -1.068 12.406
3.289 -4.178 6.164
-2.653 -1.871 6.117
-5.948 1.238 12.359
-5.466 0.679 8.177
-0.025 -4.266 3.796
2.807 -3.619 10.346
-2.634 1.327 14.727

---

Relative energies, in kJ/mol of atoms, with the most stable structure set to zero: A 1.9; B 0.0.

---

A:
PmPu2Th PBE optimized geometry; symmetry = P4/mmm
1.0
3.496 0.000 0.000
0.000 3.496 0.000
0.000 0.000 9.676
Pm Th Pu
1 1 2
Cartesian
1.748 1.748 0.000
1.748 1.748 4.838
0.000 0.000 7.142
0.000 0.000 2.534

---

B:
PmPu2Th PBE optimized geometry; symmetry = P4/mmm
1.0
4.839 0.000 0.000
0.000 4.947 0.000
0.000 0.000 4.947
Pm Th Pu
1 1 2
Cartesian
2.419 0.000 0.000
2.419 2.473 2.473
0.000 0.000 2.473
0.000 2.473 0.000

---

Relative energies, in kJ/mol of atoms, with the most stable structure set to zero: A 0.0; B 1.4.

---

A:
PmPuTl PBE optimized geometry; symmetry = I4mm
1.0
-0.545 -3.364 1.490
3.501 -0.937 -0.836
0.483 4.368 5.399
Tl Pu Pm
1 1 1
Cartesian
1.115 1.261 3.255
3.207 -0.195 5.376
1.967 -1.597 1.755

---

B:
PmPuTl PBE optimized geometry; symmetry = P4_2/mmc
1.0
5.379 0.000 0.000
0.000 8.587 0.000
0.000 0.000 8.587
Pu Tl Pm
4 4 4
Cartesian
0.000 4.293 5.742
2.689 2.845 4.293
2.689 5.742 4.293
0.000 4.293 2.845
0.000 7.189 4.293
2.689 4.293 7.189
2.689 4.293 1.398
0.000 1.398 4.293
0.000 6.177 0.000
2.689 0.000 6.177
2.689 0.000 2.410
0.000 2.410 0.000

---

Relative energies, in kJ/mol of atoms, with the most stable structure set to zero: A 0.0; B 21.4.

---

A:
PmPu2Tl PBE optimized geometry; symmetry = P4/mmm
1.0
4.202 0.000 0.000
0.000 4.202 0.000
0.000 0.000 6.581
Tl Pm Pu
1 1 2
Cartesian
2.101 2.101 0.000
2.101 2.101 3.290
0.000 0.000 5.053
0.000 0.000 1.527

---

B:
PmPu2Tl PBE optimized geometry; symmetry = Fm-3m
1.0
5.429 0.000 0.000
2.714 4.702 0.000
2.714 1.567 4.433
Tl Pm Pu
1 1 2
Cartesian
0.000 0.000 0.000
5.429 3.134 2.216
2.714 1.567 1.108
8.143 4.702 3.325

---

Relative energies, in kJ/mol of atoms, with the most stable structure set to zero: A 0.0; B 5.8.

---

A:
PmTm2Pu PBE optimized geometry; symmetry = P4/mmm
1.0
3.501 0.000 0.000
0.000 3.501 0.000
0.000 0.000 9.912
Tm Pm Pu
2 1 1
Cartesian
0.000 0.000 7.527
0.000 0.000 2.385
1.751 1.751 4.956
1.751 1.751 0.000

---

B:
PmTm2Pu PBE optimized geometry; symmetry = R3m
1.0
3.517 0.000 0.000
1.758 3.046 0.000
1.758 1.015 11.378
Pm Tm Pu
1 2 1
Cartesian
3.517 2.030 5.669
1.758 1.015 8.613
1.758 1.015 2.767
3.517 2.030 0.018

---

Relative energies, in kJ/mol of atoms, with the most stable structure set to zero: A 0.0; B 0.7.

---

A:
PmTm2Pu PBE optimized geometry; symmetry = P4/mmm
1.0
-0.524 2.960 3.929
2.409 -3.300 2.807
4.301 2.210 -1.092
Tm Pm Pu
2 1 1
Cartesian
2.151 1.105 -0.546
1.204 -1.650 1.404
-0.262 1.480 1.964
3.093 0.935 2.822

---

B:
PmTm2Pu PBE optimized geometry; symmetry = Fm-3m
1.0
5.580 0.000 0.000
2.790 4.832 0.000
2.790 1.611 4.556
Tm Pm Pu
2 1 1
Cartesian
2.790 1.611 1.139
8.370 4.832 3.417
0.000 0.000 0.000
5.580 3.222 2.278

---

Relative energies, in kJ/mol of atoms, with the most stable structure set to zero: A 0.0; B 4.9.

---

A:
PmPuU PBE optimized geometry; symmetry = Cmcm
1.0
3.727 0.000 0.000
0.000 5.089 0.414
-1.864 -0.669 8.218
U Pu Pm
2 2 2
Cartesian
1.864 0.930 4.305
0.000 3.490 4.328
1.864 3.627 2.641
0.000 0.793 5.992
1.864 3.241 7.379
0.000 1.179 1.253

---

B:
PmPuU PBE optimized geometry; symmetry = I4mm
1.0
-1.306 0.438 3.205
-0.914 -3.365 0.087
6.638 0.025 0.803
Pm U Pu
1 1 1
Cartesian
4.393 -2.896 4.084
1.254 -2.079 2.693
3.188 -0.830 1.412

---

Relative energies, in kJ/mol of atoms, with the most stable structure set to zero: A 0.0; B 14.2.